First-principles (GGA-PBE) data for crystalline TlZnInNiPt at its relaxed geometry, as listed in Alexandria via LeMat-Bulk.

The structure in POSCAR format:
```
TlZnInNiPt
1.0
4.041 0.000 0.000
0.000 3.341 0.000
-2.000 0.000 7.261
Tl Zn In Ni Pt
1 1 1 1 1
direct
0.000 0.000 0.000
0.676 0.500 0.351
0.346 0.500 0.691
0.818 0.000 0.636
0.188 0.000 0.374
```

First-principles (GGA-PBE) data for crystalline TlZnInNiPt at its relaxed geometry, as listed in Alexandria via LeMat-Bulk.

The structure in POSCAR format:
```
TlZnInNiPt
1.0
4.408 0.000 0.000
0.000 2.964 0.000
-2.134 0.000 7.408
Tl Zn In Ni Pt
1 1 1 1 1
direct
0.000 0.000 0.000
0.696 0.000 0.384
0.335 0.000 0.662
0.850 0.500 0.692
0.169 0.500 0.327
```

First-principles (GGA-PBE) data for crystalline TlZnInNiPt at its relaxed geometry, as listed in Alexandria via LeMat-Bulk.

The structure in POSCAR format:
```
TlZnInNiPt
1.0
-1.740 2.007 6.792
1.740 -2.007 6.792
1.740 2.007 -6.792
Tl Zn In Ni Pt
1 1 1 1 1
direct
0.000 0.000 0.000
0.320 0.820 0.500
0.655 0.655 0.000
0.461 0.461 0.000
0.814 0.314 0.500
```

First-principles (GGA-PBE) data for crystalline TlZnInNiPt at its relaxed geometry, as listed in Alexandria via LeMat-Bulk.

The structure in POSCAR format:
```
TlZnInNiPt
1.0
5.316 -2.072 0.000
5.316 2.072 0.000
-0.518 0.000 4.328
Tl Zn In Ni Pt
1 1 1 1 1
direct
0.000 0.000 0.000
0.274 0.274 0.859
0.748 0.748 0.367
0.622 0.622 0.825
0.425 0.425 0.410
```

no.,E_tot (eV/atom)
1,-3.79
2,-3.75
3,-3.73
4,-3.70